Material: CaY3I
Method: DFT, GGA-PBE
State: relaxed

Values from the calculation:
The calculation puts the density of states at the Fermi level at 5.6 states/eV/f.u. Its uncorrected formation energy is 75 meV/atom. The calculated total energy is -4.5135 eV per atom.

abc: 5.7318 5.7318 5.7318
angles: 90.00 90.00 90.00
Closest atoms and distances in Å follow each position.
Sites, in units of the cell vectors:
1 Ca 0.0000 0.0000 0.0000  12 Y 4.05
2 Y 0.0000 0.5000 0.5000  2 I 2.87
3 Y 0.5000 0.0000 0.5000  2 I 2.87
4 Y 0.5000 0.5000 0.0000  2 I 2.87
5 I 0.5000 0.5000 0.5000  6 Y 2.87